First-principles (PBE) data for a relaxed structure of AcSc2Fe, as listed in Alexandria.

## Properties
* E: -6.2285 eV per atom
* volume: 23.98 Å³ per atom
* M_tot: 0.0 μB/f.u.
* energy of formation: 0.08 eV/atom

```
data_AcSc2Fe
_space_group_name_H-M_alt 'P 1'
_space_group_IT_number 1
_cell_length_a 3.310
_cell_length_b 3.310
_cell_length_c 8.755
_cell_angle_alpha 90.00
_cell_angle_beta 90.00
_cell_angle_gamma 90.00
loop_
_space_group_symop_operation_xyz
'x,y,z'
loop_
_atom_site_label
_atom_site_fract_x
_atom_site_fract_y
_atom_site_fract_z
Sc1 0.000 0.000 0.834
Sc2 0.000 0.000 0.166
Ac1 0.500 0.500 0.500
Fe1 0.500 0.500 0.000
```